(1)
A plane-wave DFT calculation with SCAN was carried out for a crystal of BeH6N2F4 relaxed with PBEsol.

Values from the calculation:
- Crystal system: monoclinic
- Final energy: -5.92 eV per atom

Lattice parameters (Å, degrees): 5.506 7.590 10.282 90.00 91.22 90.00
Atoms (fractional coordinates):
Be  0.781  0.286  0.078
Be  0.219  0.786  0.422
Be  0.219  0.714  0.922
Be  0.781  0.214  0.578
F  0.554  0.184  0.132
F  0.446  0.684  0.368
F  0.446  0.816  0.868
F  0.554  0.316  0.632
F  0.003  0.162  0.079
F  0.997  0.662  0.421
F  0.997  0.838  0.921
F  0.003  0.338  0.579
F  0.840  0.439  0.177
F  0.160  0.939  0.323
F  0.160  0.561  0.823
F  0.840  0.061  0.677
F  0.709  0.146  0.441
F  0.291  0.646  0.059
F  0.291  0.854  0.559
F  0.709  0.354  0.941
H  0.355  0.504  0.309
H  0.645  0.004  0.191
H  0.645  0.496  0.691
H  0.355  0.996  0.809
H  0.455  0.230  0.414
H  0.545  0.730  0.086
H  0.545  0.770  0.586
H  0.455  0.270  0.914
H  0.382  0.322  0.205
H  0.618  0.822  0.295
H  0.618  0.678  0.795
H  0.382  0.178  0.705
H  0.097  0.407  0.241
H  0.903  0.907  0.259
H  0.903  0.593  0.759
H  0.097  0.093  0.741
H  0.197  0.139  0.353
H  0.803  0.639  0.147
H  0.803  0.861  0.647
H  0.197  0.361  0.853
H  0.167  0.312  0.464
H  0.833  0.812  0.036
H  0.833  0.688  0.536
H  0.167  0.188  0.964
N  0.277  0.383  0.278
N  0.723  0.883  0.222
N  0.723  0.617  0.722
N  0.277  0.117  0.778
N  0.272  0.262  0.384
N  0.728  0.762  0.116
N  0.728  0.738  0.616
N  0.272  0.238  0.884

---

(2)
A plane-wave DFT calculation with SCAN was carried out for a crystal of BeH6N2F2 relaxed with PBEsol.

Values from the calculation:
- Crystal system: monoclinic
- Final energy: -5.87 eV per atom

Lattice parameters (Å, degrees): 4.814 6.750 10.193 90.00 91.91 90.00
Atoms (fractional coordinates):
Be  0.365  0.137  0.819
Be  0.635  0.637  0.681
Be  0.635  0.863  0.181
Be  0.365  0.363  0.319
F  0.683  0.133  0.851
F  0.317  0.633  0.649
F  0.317  0.867  0.149
F  0.683  0.367  0.351
F  0.321  0.141  0.667
F  0.679  0.641  0.833
F  0.679  0.859  0.333
F  0.321  0.359  0.167
H  0.258  0.345  0.995
H  0.742  0.845  0.505
H  0.742  0.655  0.005
H  0.258  0.155  0.495
H  0.027  0.374  0.871
H  0.973  0.874  0.629
H  0.973  0.626  0.129
H  0.027  0.126  0.371
H  0.346  0.468  0.861
H  0.654  0.968  0.639
H  0.654  0.532  0.139
H  0.346  0.032  0.361
H  0.262  0.805  0.822
H  0.738  0.305  0.678
H  0.738  0.195  0.178
H  0.262  0.695  0.322
H  0.991  0.942  0.865
H  0.009  0.442  0.635
H  0.009  0.058  0.135
H  0.991  0.558  0.365
H  0.248  0.895  0.974
H  0.752  0.395  0.526
H  0.752  0.105  0.026
H  0.248  0.605  0.474
N  0.234  0.347  0.893
N  0.766  0.847  0.607
N  0.766  0.653  0.107
N  0.234  0.153  0.393
N  0.204  0.927  0.876
N  0.796  0.427  0.624
N  0.796  0.073  0.124
N  0.204  0.573  0.376

---

| no. | total moment (Bohr magnetons per cell) |
| --- | --- |
| 1 | 0.00 |
| 2 | 0.00 |